(1)
A plane-wave DFT calculation with meta-GGA SCAN was carried out for a crystal of TiTe2SO relaxed with PBEsol.

```
data_TiTe2SO
_chemical_formula_sum 'Ti1 Te2 S1 O1'
_cell_length_a 5.1976
_cell_length_b 5.1976
_cell_length_c 4.4372
_cell_angle_alpha 90.00
_cell_angle_beta 90.00
_cell_angle_gamma 90.00
_symmetry_space_group_name_H-M 'P 1'
_symmetry_Int_Tables_number 1
loop_
_symmetry_equiv_pos_as_xyz
'x,y,z'
loop_
_atom_site_label
_atom_site_type_symbol
_atom_site_fract_x
_atom_site_fract_y
_atom_site_fract_z
_atom_site_occupancy
Ti1 Ti 0.0000 0.0000 0.0000 1
Te1 Te 0.0000 0.5000 0.5000 1
Te2 Te 0.5000 0.0000 0.5000 1
S1 S 0.0000 0.0000 0.5000 1
O1 O 0.5000 0.5000 0.0000 1
```

Results
- calculated density (g cm⁻³) = 4.86
- size of the total moment (μB/f.u.) = 0.746
- formation energy without anion corrections (eV per atom) = 0.6227

---

(2)
A plane-wave DFT calculation with meta-GGA SCAN was carried out for a crystal of Hg2MoPt relaxed with PBEsol.

```
data_Hg2MoPt
_chemical_formula_sum 'Hg2 Mo1 Pt1'
_cell_length_a 4.6329
_cell_length_b 4.6329
_cell_length_c 4.6329
_cell_angle_alpha 60.00
_cell_angle_beta 60.00
_cell_angle_gamma 60.00
_symmetry_space_group_name_H-M 'P 1'
_symmetry_Int_Tables_number 1
loop_
_symmetry_equiv_pos_as_xyz
'x,y,z'
loop_
_atom_site_label
_atom_site_type_symbol
_atom_site_fract_x
_atom_site_fract_y
_atom_site_fract_z
_atom_site_occupancy
Hg1 Hg 0.0000 0.0000 0.0000 1
Hg2 Hg 0.2500 0.2500 0.2500 1
Mo1 Mo 0.5000 0.5000 0.5000 1
Pt1 Pt 0.7500 0.7500 0.7500 1
```

Results
- calculated density (g cm⁻³) = 16.35
- size of the total moment (μB/f.u.) = 1.643
- DFT formation energy (meV/atom) = 474